## LaMg2Ni2 (PBEsol)

Data for a relaxed LaMg2Ni2 crystal.

Results
The calculation puts the energy at -0.3240 Ry per atom. The calculation puts the density of states at the Fermi level at 0.57 states/eV per atom.

Lattice parameters (Å, degrees): 4.019 4.019 6.485 108.05 108.05 90.00
Fractional coordinates of all 5 atoms:
Mg (0.250, 0.750, 0.500)
Mg (0.750, 0.250, 0.500)
La (0.000, 0.000, 0.000)
Ni (0.600, 0.600, 0.199)
Ni (0.400, 0.400, 0.801)

=====

## CsYMgIn2 (PBEsol)

Data for a relaxed CsYMgIn2 crystal.

Results
The calculation puts the energy at -0.1880 Ry per atom. The calculation puts the density of states at the Fermi level at 0.60 states/eV per atom.

Lattice parameters (Å, degrees): 5.419 5.419 5.754 90.00 90.00 90.00
Fractional coordinates of all 5 atoms:
In (0.500, 0.000, 0.000)
In (0.000, 0.500, 0.000)
Y (0.500, 0.500, 0.500)
Mg (0.000, 0.000, 0.000)
Cs (0.000, 0.000, 0.500)

=====

## NbPbO2 (PBEsol)

Data for a relaxed NbPbO2 crystal.

Results
For the raw formation energy, the calculation gives -526 meV/atom. The calculation puts the energy at -0.5039 Ry per atom. The calculation puts the density of states at the Fermi level at 0.49 states/eV per atom.

Lattice parameters (Å, degrees): 4.174 4.174 4.174 60.00 60.00 60.00
Fractional coordinates of all 4 atoms:
Nb (0.000, 0.000, 0.000)
Pb (0.500, 0.500, 0.500)
O (0.250, 0.250, 0.250)
O (0.750, 0.750, 0.750)

=====

## Ta2PtAu (PBEsol)

Data for a relaxed Ta2PtAu crystal.

Results
The calculation puts the energy at -0.6882 Ry per atom. The calculation puts the density of states at the Fermi level at 0.59 states/eV per atom.

Lattice parameters (Å, degrees): 2.825 2.825 8.208 90.00 90.00 90.00
Fractional coordinates of all 4 atoms:
Au (0.500, 0.500, 0.000)
Ta (0.000, 0.000, 0.744)
Ta (0.000, 0.000, 0.256)
Pt (0.500, 0.500, 0.500)

=====

## La2Cu2Sb (PBEsol)

Data for a relaxed La2Cu2Sb crystal.

Results
For the raw formation energy, the calculation gives -286 meV/atom. The calculation puts the energy at -0.3726 Ry per atom. The calculation puts the density of states at the Fermi level at 1.08 states/eV per atom.

Lattice parameters (Å, degrees): 5.500 5.500 5.500 93.99 117.73 117.73
Fractional coordinates of all 5 atoms:
Cu (0.000, 0.648, 0.648)
Cu (0.000, 0.352, 0.352)
La (0.500, 0.750, 0.250)
La (0.500, 0.250, 0.750)
Sb (0.000, 0.000, 0.000)

=====

## FeCo (PBEsol)

Data for a relaxed FeCo crystal.

Results
The calculation puts the energy at -0.6130 Ry per atom. The calculation puts the density of states at the Fermi level at 0.67 states/eV per atom.

Lattice parameters (Å, degrees): 2.786 2.786 11.243 90.00 90.00 90.00
Fractional coordinates of all 8 atoms:
Co (0.000, 0.000, 0.999)
Co (0.500, 0.500, 0.375)
Co (0.500, 0.500, 0.624)
Co (0.500, 0.500, 0.128)
Fe (0.000, 0.000, 0.248)
Fe (0.000, 0.000, 0.749)
Fe (0.500, 0.500, 0.878)
Fe (0.000, 0.000, 0.499)

=====

## IrOsW2 (PBEsol)

Data for a relaxed IrOsW2 crystal.

Results
The calculation puts the energy at -0.9207 Ry per atom. The energy relative to the lowest polymorph listed for this composition is 6 meV per atom. The calculation puts the density of states at the Fermi level at 0.71 states/eV per atom.

Lattice parameters (Å, degrees): 2.765 2.765 7.747 90.00 90.00 90.00
Fractional coordinates of all 4 atoms:
W (0.000, 0.000, 0.252)
W (0.000, 0.000, 0.748)
Ir (0.500, 0.500, 0.000)
Os (0.500, 0.500, 0.500)

=====

## ZnCd2Co (PBEsol)

Data for a relaxed ZnCd2Co crystal.

Results
The calculation puts the energy at -0.2037 Ry per atom. The calculation puts the density of states at the Fermi level at 0.51 states/eV per atom.

Lattice parameters (Å, degrees): 3.008 4.481 5.304 112.84 106.47 90.00
Fractional coordinates of all 4 atoms:
Co (0.515, 0.501, 0.030)
Cd (0.777, 0.288, 0.553)
Cd (0.993, 0.984, 0.986)
Zn (0.215, 0.728, 0.431)

=====

## ZrSbBr4 (PBEsol)

Data for a relaxed ZrSbBr4 crystal.

Results
For the raw formation energy, the calculation gives 514 meV/atom. The calculation puts the energy at -0.2210 Ry per atom. The calculation puts the density of states at the Fermi level at 1.53 states/eV per atom.

Lattice parameters (Å, degrees): 5.919 5.919 5.919 60.00 60.00 60.00
Fractional coordinates of all 6 atoms:
Br (0.877, 0.374, 0.374)
Br (0.374, 0.374, 0.877)
Br (0.374, 0.374, 0.374)
Br (0.374, 0.877, 0.374)
Sb (0.750, 0.750, 0.750)
Zr (0.000, 0.000, 0.000)

=====

## BaBe2FeB (PBEsol)

Data for a relaxed BaBe2FeB crystal.

Results
The calculation puts the energy at -0.1736 Ry per atom. The calculation puts the density of states at the Fermi level at 1.01 states/eV per atom.

Lattice parameters (Å, degrees): 4.576 4.860 4.860 90.00 90.00 90.00
Fractional coordinates of all 5 atoms:
Be (0.000, 0.500, 0.000)
Be (0.000, 0.000, 0.500)
Fe (0.500, 0.500, 0.500)
Ba (0.000, 0.000, 0.000)
B (0.500, 0.000, 0.000)

=====

## Ca2YBr (PBEsol)

Data for a relaxed Ca2YBr crystal.

Results
For the raw formation energy, the calculation gives -626 meV/atom. The calculation puts the energy at -0.2841 Ry per atom. The energy relative to the lowest polymorph listed for this composition is 0 meV per atom. The calculation puts the density of states at the Fermi level at 0.57 states/eV per atom.

Lattice parameters (Å, degrees): 3.633 3.633 10.224 90.00 90.00 111.85
Fractional coordinates of all 4 atoms:
Ca (0.000, 0.000, 0.223)
Ca (0.000, 0.000, 0.777)
Br (0.500, 0.500, 0.000)
Y (0.500, 0.500, 0.500)

=====

## Sr2FeRuO6 (PBEsol)

Data for a relaxed Sr2FeRuO6 crystal.

Results
For the raw formation energy, the calculation gives -1933 meV/atom. The calculation puts the energy at -0.5413 Ry per atom. The calculation puts the density of states at the Fermi level at 0.51 states/eV per atom.

Lattice parameters (Å, degrees): 5.474 5.474 5.474 60.00 60.00 60.00
Fractional coordinates of all 10 atoms:
O (0.252, 0.748, 0.748)
O (0.748, 0.748, 0.252)
O (0.252, 0.252, 0.748)
O (0.748, 0.252, 0.252)
O (0.252, 0.748, 0.252)
O (0.748, 0.252, 0.748)
Ru (0.000, 0.000, 0.000)
Sr (0.750, 0.750, 0.750)
Sr (0.250, 0.250, 0.250)
Fe (0.500, 0.500, 0.500)

=====

## TmMoBrO4 (PBEsol)

Data for a relaxed TmMoBrO4 crystal.

Results
For the raw formation energy, the calculation gives -2447 meV/atom. The calculation puts the energy at -0.5950 Ry per atom. The calculation puts the density of states at the Fermi level at 0.00 states/eV per atom.

Lattice parameters (Å, degrees): 6.841 7.140 10.655 102.46 108.11 95.36
Fractional coordinates of all 28 atoms:
Br (0.263, 0.013, 0.520)
Br (0.737, 0.987, 0.480)
Br (0.192, 0.720, 0.986)
Br (0.808, 0.280, 0.014)
O (0.727, 0.390, 0.696)
O (0.004, 0.109, 0.797)
O (0.036, 0.655, 0.670)
O (0.655, 0.736, 0.956)
O (0.654, 0.779, 0.704)
O (0.665, 0.501, 0.446)
O (0.335, 0.499, 0.554)
O (0.273, 0.610, 0.304)
O (0.346, 0.221, 0.296)
O (0.407, 0.989, 0.813)
O (0.593, 0.011, 0.187)
O (0.347, 0.373, 0.801)
O (0.996, 0.891, 0.203)
O (0.964, 0.345, 0.330)
O (0.653, 0.627, 0.199)
O (0.345, 0.264, 0.044)
Tm (0.378, 0.666, 0.767)
Tm (0.663, 0.098, 0.730)
Tm (0.337, 0.902, 0.270)
Tm (0.622, 0.334, 0.233)
Mo (0.726, 0.817, 0.134)
Mo (0.768, 0.585, 0.626)
Mo (0.274, 0.183, 0.866)
Mo (0.232, 0.415, 0.374)

=====

## CaGa2CuHg (PBEsol)

Data for a relaxed CaGa2CuHg crystal.

Results
The calculation puts the energy at -0.1198 Ry per atom. The calculation puts the density of states at the Fermi level at 0.92 states/eV per atom.

Lattice parameters (Å, degrees): 5.471 5.471 5.493 90.00 90.00 90.00
Fractional coordinates of all 5 atoms:
Ga (0.000, 0.500, 0.000)
Ga (0.500, 0.000, 0.000)
Ca (0.000, 0.000, 0.000)
Cu (0.500, 0.500, 0.500)
Hg (0.000, 0.000, 0.500)

=====

## Li3Cr5O10 (PBEsol)

Data for a relaxed Li3Cr5O10 crystal.

Results
For the raw formation energy, the calculation gives -1983 meV/atom. The calculation puts the energy at -0.5933 Ry per atom. The calculation puts the density of states at the Fermi level at 0.64 states/eV per atom.

Lattice parameters (Å, degrees): 4.998 5.831 6.468 103.25 97.62 106.66
Fractional coordinates of all 18 atoms:
Cr (0.601, 0.204, 0.692)
Cr (0.000, 0.000, 0.500)
Cr (0.793, 0.597, 0.096)
Cr (0.399, 0.796, 0.308)
Cr (0.207, 0.403, 0.904)
O (0.300, 0.873, 0.589)
O (0.491, 0.735, 0.021)
O (0.088, 0.920, 0.209)
O (0.700, 0.127, 0.411)
O (0.712, 0.678, 0.380)
O (0.096, 0.473, 0.188)
O (0.509, 0.265, 0.979)
O (0.904, 0.527, 0.812)
O (0.288, 0.322, 0.620)
O (0.912, 0.080, 0.791)
Li (0.203, 0.902, 0.902)
Li (0.000, 0.500, 0.500)
Li (0.797, 0.098, 0.098)

=====

## Mg3Mo (PBEsol)

Data for a relaxed Mg3Mo crystal.

Results
The calculation puts the energy at -0.2844 Ry per atom. The energy relative to the lowest polymorph listed for this composition is 55 meV per atom. The calculation puts the density of states at the Fermi level at 0.40 states/eV per atom.

Lattice parameters (Å, degrees): 4.165 4.165 4.165 90.00 90.00 90.00
Fractional coordinates of all 4 atoms:
Mg (0.000, 0.500, 0.500)
Mg (0.500, 0.500, 0.000)
Mg (0.500, 0.000, 0.500)
Mo (0.000, 0.000, 0.000)

=====

## Pt2W2C (PBEsol)

Data for a relaxed Pt2W2C crystal.

Results
The calculation puts the energy at -0.6404 Ry per atom. The calculation puts the density of states at the Fermi level at 0.68 states/eV per atom.

Lattice parameters (Å, degrees): 3.509 3.509 7.042 104.43 104.43 90.00
Fractional coordinates of all 5 atoms:
Pt (0.404, 0.404, 0.807)
Pt (0.596, 0.596, 0.193)
C (0.000, 0.000, 0.000)
W (0.250, 0.750, 0.500)
W (0.750, 0.250, 0.500)

=====

## YTc3Au (PBEsol)

Data for a relaxed YTc3Au crystal.

Results
The calculation puts the energy at -0.5210 Ry per atom. The calculation puts the density of states at the Fermi level at 2.23 states/eV per atom.

Lattice parameters (Å, degrees): 4.783 4.783 4.783 90.00 90.00 90.00
Fractional coordinates of all 5 atoms:
Y (0.500, 0.500, 0.500)
Tc (0.000, 0.500, 0.000)
Tc (0.500, 0.000, 0.000)
Tc (0.000, 0.000, 0.500)
Au (0.000, 0.000, 0.000)

=====

## Ho3Er (PBEsol)

Data for a relaxed Ho3Er crystal.

Results
The calculation puts the energy at -0.3627 Ry per atom. The energy relative to the lowest polymorph listed for this composition is 0 meV per atom. The calculation puts the density of states at the Fermi level at 1.69 states/eV per atom.

Lattice parameters (Å, degrees): 5.478 7.029 7.029 119.99 90.00 90.00
Fractional coordinates of all 8 atoms:
Ho (0.750, 0.334, 0.167)
Ho (0.250, 0.167, 0.334)
Ho (0.250, 0.666, 0.833)
Ho (0.750, 0.833, 0.167)
Ho (0.750, 0.833, 0.666)
Ho (0.250, 0.167, 0.833)
Er (0.250, 0.667, 0.333)
Er (0.750, 0.333, 0.667)

=====

## KMg2Al (PBEsol)

Data for a relaxed KMg2Al crystal.

Results
The calculation puts the energy at -0.1400 Ry per atom. The calculation puts the density of states at the Fermi level at 0.45 states/eV per atom.

Lattice parameters (Å, degrees): 3.293 3.293 11.240 81.58 81.58 60.00
Fractional coordinates of all 4 atoms:
Al (0.500, 0.500, 0.500)
K (0.000, 0.000, 0.000)
Mg (0.236, 0.236, 0.292)
Mg (0.764, 0.764, 0.708)

=====

## TiTcP (PBEsol)

Data for a relaxed TiTcP crystal.

Results
The calculation puts the energy at -0.6857 Ry per atom. The calculation puts the density of states at the Fermi level at 0.30 states/eV per atom.

Lattice parameters (Å, degrees): 3.152 4.977 5.644 90.00 90.00 108.46
Fractional coordinates of all 6 atoms:
Ti (0.689, 0.378, 0.145)
Ti (0.311, 0.622, 0.645)
Tc (0.991, 0.982, 0.374)
Tc (0.009, 0.018, 0.874)
P (0.616, 0.232, 0.616)
P (0.384, 0.768, 0.116)

=====

## IrRuPb2 (PBEsol)

Data for a relaxed IrRuPb2 crystal.

Results
The calculation puts the energy at -0.4858 Ry per atom. The energy relative to the lowest polymorph listed for this composition is 0 meV per atom. The calculation puts the density of states at the Fermi level at 1.01 states/eV per atom.

Lattice parameters (Å, degrees): 2.974 3.530 8.011 90.00 90.00 90.00
Fractional coordinates of all 4 atoms:
Pb (0.000, 0.000, 0.939)
Pb (0.500, 0.500, 0.311)
Ir (0.500, 0.500, 0.698)
Ru (0.000, 0.000, 0.552)

=====

## Rb2ScNiAs (PBEsol)

Data for a relaxed Rb2ScNiAs crystal.

Results
The calculation puts the energy at -0.2493 Ry per atom. The calculation puts the density of states at the Fermi level at 1.59 states/eV per atom.

Lattice parameters (Å, degrees): 4.262 6.687 6.687 90.00 90.00 90.00
Fractional coordinates of all 5 atoms:
Rb (0.000, 0.500, 0.000)
Rb (0.000, 0.000, 0.500)
As (0.000, 0.000, 0.000)
Ni (0.500, 0.000, 0.000)
Sc (0.500, 0.500, 0.500)

=====

## MgScCd (PBEsol)

Data for a relaxed MgScCd crystal.

Results
The calculation puts the energy at -0.2137 Ry per atom. The calculation puts the density of states at the Fermi level at 1.49 states/eV per atom.

Lattice parameters (Å, degrees): 4.685 4.685 4.685 60.00 60.00 60.00
Fractional coordinates of all 3 atoms:
Cd (0.500, 0.500, 0.500)
Mg (0.250, 0.250, 0.250)
Sc (0.000, 0.000, 0.000)

=====

## KNaLa2Sn (PBEsol)

Data for a relaxed KNaLa2Sn crystal.

Results
The calculation puts the energy at -0.2215 Ry per atom. The calculation puts the density of states at the Fermi level at 1.07 states/eV per atom.

Lattice parameters (Å, degrees): 5.352 5.809 5.809 90.00 90.00 90.00
Fractional coordinates of all 5 atoms:
K (0.500, 0.500, 0.500)
La (0.000, 0.500, 0.000)
La (0.000, 0.000, 0.500)
Na (0.000, 0.000, 0.000)
Sn (0.500, 0.000, 0.000)

=====

## Al2FeRe (PBEsol)

Data for a relaxed Al2FeRe crystal.

Results
The calculation puts the energy at -0.5257 Ry per atom. The energy relative to the lowest polymorph listed for this composition is 642 meV per atom. The calculation puts the density of states at the Fermi level at 0.64 states/eV per atom.

Lattice parameters (Å, degrees): 5.263 5.374 5.374 76.12 60.68 60.68
Fractional coordinates of all 8 atoms:
Al (0.604, 0.021, 0.521)
Al (0.146, 0.979, 0.479)
Al (0.875, 0.521, 0.979)
Al (0.375, 0.479, 0.021)
Re (0.750, 0.500, 0.500)
Re (0.000, 0.000, 0.000)
Fe (0.500, 0.000, 0.000)
Fe (0.250, 0.500, 0.500)